Version w
13
Lattice="3.3394 -3.7879 0.0000 3.3394 3.7879 0.0000 -0.0511 0.0000 6.6523" Properties=species:S:1:pos:R:3 comment="LiCo2P2O8, single point on PBEsol structure, DFT SCAN" density_kg_m3=3106 n_ef_per_ev_atom=0.47 magmom_total_mub_per_atom=0.54 pbc="T T T"
Li 0.0000 0.0000 0.0000
Co 3.3394 0.0074 0.0000
Co 3.3138 -3.7562 3.3261
P 1.7157 1.9089 1.6882
P 4.9120 1.9089 4.9641
O 2.9986 1.0823 1.4790
O 1.4590 -1.0656 3.6670
O 1.7060 -0.9378 6.2085
O 3.6291 1.0823 5.1733
O 2.8365 -2.7901 4.9180
O 4.9217 -0.9378 0.4438
O 5.1687 -1.0656 2.9853
O 3.7911 -2.7901 1.7342


Version x
26
Lattice="4.9888 0.0000 0.0000 0.0000 6.8007 0.0000 -0.3462 0.0000 9.9193" Properties=species:S:1:pos:R:3 comment="LiCo2P2O8, single point on PBEsol structure, DFT SCAN" density_kg_m3=3106 n_ef_per_ev_atom=0.34 magmom_total_mub_per_atom=0.54 pbc="T T T"
Li 0.0000 1.6921 0.0000
Li -0.1731 5.1086 4.9597
Co -0.1184 1.6968 5.4125
Co 0.0547 5.1038 0.4528
Co 2.5354 1.6033 1.9458
Co 2.3623 5.1974 6.9055
P 0.0554 3.2508 2.7134
P -0.1177 3.5499 7.6731
P 2.3652 0.1294 4.5643
P 2.1921 6.6713 9.5240
O 1.5746 3.0707 2.5390
O 1.4015 3.7299 7.4987
O 1.7080 1.3625 5.2082
O 1.8811 5.4382 0.2485
O 1.9244 1.1902 0.1657
O 1.7513 5.6105 5.1254
O 2.1858 0.1403 3.0370
O 2.0127 6.6604 7.9966
O 3.8828 0.1232 4.9402
O 3.7097 6.6775 9.8999
O 4.3530 2.1352 1.8684
O 4.1799 4.6655 6.8281
O 4.4684 2.1404 7.1910
O 4.6415 4.6603 2.2314
O 4.6274 3.1750 4.2084
O 4.4543 3.6257 9.1681


Of them, version w has the lowest stability.